Entry 1:
A relaxed K2Na5In crystal, computed with PBE.

## Properties
Space-group type: I4mm, No. 107
Uncorrected energy (eV per atom): -1.413
Size of the total moment (μB per cell): 0.00
ΔH_f (0 K) (meV/atom): 28

abc: 7.542 7.545 7.545
angles: 96.82 116.16 116.16
Fractional coordinates of all 8 atoms:
Na  0.000  0.799  0.260
Na  0.000  0.335  0.335
Na  0.000  0.260  0.799
K  0.500  0.776  0.276
In  0.000  0.719  0.719
Na  0.460  0.259  0.259
K  0.500  0.276  0.776
Na  0.540  0.799  0.799


Entry 2:
A relaxed Ac2ErIO8 crystal, computed with PBE.

## Properties
Formation energy from raw total energies (eV per atom): -2.2372
Space-group type: P-1, No. 2
Uncorrected energy (eV per atom): -6.737
Size of the total moment (μB per cell): 0.00

abc: 5.336 5.340 7.119
angles: 89.99 89.99 91.96
Fractional coordinates of all 12 atoms:
I  0.000  0.000  0.000
O  0.165  0.829  0.204
Ac  0.502  0.502  0.246
O  0.706  0.707  0.501
O  0.746  0.748  0.997
O  0.294  0.293  0.499
Er  0.000  0.000  0.500
O  0.254  0.252  0.003
O  0.169  0.833  0.796
O  0.831  0.167  0.204
O  0.835  0.171  0.796
Ac  0.498  0.498  0.754


Entry 3:
A relaxed Ac2GaNi3Sn4 crystal, computed with PBE.

## Properties
Space-group type: P-4m2, No. 115
Uncorrected energy (eV per atom): -4.975
Size of the total moment (μB per cell): 0.00
ΔH_f (0 K) (meV/atom): -515

abc: 4.591 4.591 10.648
angles: 90.00 90.00 90.00
Fractional coordinates of all 10 atoms:
Sn  0.000  0.500  0.362
Sn  0.500  0.500  0.000
Ni  0.500  0.000  0.879
Ni  0.000  0.500  0.121
Ni  0.000  0.000  0.500
Ac  0.000  0.500  0.748
Ga  0.500  0.500  0.500
Sn  0.500  0.000  0.638
Ac  0.500  0.000  0.252
Sn  0.000  0.000  0.000


Entry 4:
A relaxed Tm6InSi2S3 crystal, computed with PBE.

## Properties
Formation energy from raw total energies (eV per atom): -1.2392
Space-group type: C2/m, No. 12
Uncorrected energy (eV per atom): -5.639
Size of the total moment (μB per cell): 0.00

abc: 3.968 8.141 9.156
angles: 109.13 102.52 90.00
Fractional coordinates of all 12 atoms:
Tm  0.007  0.727  0.015
In  0.500  0.000  0.000
Tm  0.325  0.923  0.650
S  0.168  0.822  0.336
Tm  0.329  0.433  0.658
S  0.832  0.178  0.664
S  0.500  0.500  0.000
Tm  0.671  0.567  0.342
Tm  0.675  0.077  0.350
Tm  0.993  0.273  0.985
Si  0.158  0.311  0.317
Si  0.842  0.689  0.683


Entry 5:
A relaxed Pr2SbTe crystal, computed with PBE.

## Properties
Distance to the lowest polymorph of the same formula (eV per atom): 0.0542
Formation energy from raw total energies (eV per atom): -1.3058
Space-group type: R3m, No. 160
Uncorrected energy (eV per atom): -5.512
Size of the total moment (μB per cell): 0.00

abc: 4.452 4.452 8.270
angles: 74.39 74.39 60.00
Fractional coordinates of all 4 atoms:
Sb  0.668  0.668  0.997
Te  0.499  0.499  0.503
Pr  0.078  0.078  0.767
Pr  0.256  0.256  0.233


Entry 6:
A relaxed TaTcAs2Br crystal, computed with PBE.

## Properties
Distance to the lowest polymorph of the same formula (eV per atom): 0.0000
Formation energy from raw total energies (eV per atom): 0.9376
Space-group type: P4/mmm, No. 123
Uncorrected energy (eV per atom): -5.701
Size of the total moment (μB per cell): 4.72

abc: 5.023 5.023 5.091
angles: 90.00 90.00 90.00
Site moments in Bohr magnetons follow the coordinates.
Fractional coordinates of all 5 atoms:
As  0.500  0.000  0.000  -0.04
Ta  0.000  0.000  0.000  0.21
Tc  0.500  0.500  0.500  3.79
Br  0.000  0.000  0.500  0.07
As  0.000  0.500  0.000  -0.04


Entry 7:
A relaxed CeYOsAu crystal, computed with PBE.

## Properties
Space-group type: F-43m, No. 216
Uncorrected energy (eV per atom): -7.095
Size of the total moment (μB per cell): 0.40
ΔH_f (0 K) (meV/atom): -369

abc: 5.009 5.009 5.009
angles: 60.00 60.00 60.00
Site moments in Bohr magnetons follow the coordinates.
Fractional coordinates of all 4 atoms:
Ce  0.250  0.250  0.250  0.35
Os  0.000  0.000  0.000  -0.04
Au  0.500  0.500  0.500  0.01
Y  0.750  0.750  0.750  0.01


Entry 8:
A relaxed SrTiTc2H crystal, computed with PBE.

## Properties
Distance to the lowest polymorph of the same formula (eV per atom): 0.0000
Space-group type: P4/mmm, No. 123
Uncorrected energy (eV per atom): -5.775
Size of the total moment (μB per cell): 2.36

abc: 4.932 3.694 4.932
angles: 90.00 90.00 90.00
Site moments in Bohr magnetons follow the coordinates.
Fractional coordinates of all 5 atoms:
Ti  0.000  0.000  0.000  -0.18
Sr  0.500  0.500  0.500  0.05
H  0.000  0.500  0.000  0.01
Tc  0.500  0.000  0.000  1.20
Tc  0.000  0.000  0.500  0.95


- Number 5 is which compound?
  Pr2SbTe


- Look up the uncorrected energy of the second one.
  -6.737 eV per atom